(1)
Entry from Alexandria: a relaxed TaGe3O crystal (GGA-PBE).

For the energy relative to the lowest polymorph listed for this composition, the calculation gives 0 meV/atom.

The structure belongs to space group Pm-3m (No. 221); the cell edges are 4.2879, 4.2879 and 4.2879 Å and the angles 90.00°, 90.00° and 90.00°. Symmetry generates all atoms from Ta at (0.0000, 0.0000, 0.0000), Ge at (0.0000, 0.5000, 0.5000) and O at (0.5000, 0.5000, 0.5000).


(2)
Entry from Alexandria: a relaxed TaTiGeO6 crystal (GGA-PBE).

For the total energy, the calculation gives -8.36 eV/atom.

The structure belongs to space group P-31c (No. 163); the cell edges are 5.0623, 5.0623 and 8.8326 Å and the angles 90.00°, 90.00° and 120.00°. Symmetry generates all atoms from Ta at (0.3333, 0.6667, 0.2500), Ti at (0.3333, 0.6667, 0.7500), Ge at (0.0000, 0.0000, 0.0000) and O at (0.0015, 0.3347, 0.6271).


(3)
Entry from Alexandria: a relaxed TaTl2GeO crystal (GGA-PBE).

For the total energy, the calculation gives -4.22 eV/atom.

The structure belongs to space group P4/mmm (No. 123); the cell edges are 5.6014, 5.6014 and 4.9166 Å and the angles 90.00°, 90.00° and 90.00°. Symmetry generates all atoms from Ta at (0.0000, 0.0000, 0.0000), Tl at (0.0000, 0.5000, 0.0000), Ge at (0.0000, 0.0000, 0.5000) and O at (0.5000, 0.5000, 0.5000).


(4)
Entry from Alexandria: a relaxed TaTlGeO5 crystal (GGA-PBE).

For the total energy, the calculation gives -7.44 eV/atom.

The structure belongs to space group C2/c (No. 15); the cell edges are 7.2814, 9.4743 and 7.6418 Å and the angles 90.00°, 116.45° and 90.00°. Symmetry generates all atoms from Ta at (0.0000, 0.0000, 0.0000), Tl at (0.0000, 0.3276, 0.2500), Ge at (0.0000, 0.3114, 0.7500), O at (0.0000, 0.0505, 0.2500), O at (0.0798, 0.1990, 0.6082) and O at (0.2089, 0.4250, 0.8947).


(5)
Entry from Alexandria: a relaxed TmTaGe2O8 crystal (GGA-PBE).

For the total energy, the calculation gives -7.82 eV/atom.

The structure belongs to space group I-4m2 (No. 119); the cell edges are 6.7864, 6.7864 and 6.2622 Å and the angles 90.00°, 90.00° and 90.00°. Symmetry generates all atoms from Tm at (0.0000, 0.0000, 0.0000), Ta at (0.0000, 0.5000, 0.2500), Ge at (0.0000, 0.0000, 0.5000), Ge at (0.0000, 0.5000, 0.7500), O at (0.0000, 0.1974, 0.3150) and O at (0.0000, 0.3226, 0.9555).


Number 1 is which compound?
TaGe3O